(1)
This record from Alexandria describes a geometry-optimized Pu4GaIr structure. The functional is PBE-GGA.

total moment = 46.65 Bohr magnetons per cell
calculated total energy = -140.42 eV per cell
DOS(E_F) = 27.23 states/eV/f.u.

Cell: 7.090 7.090 5.795 Å, 90.00 90.00 90.00°
Space group P4/mcc (No. 124)
Inequivalent atoms, fractional coordinates:
Pu  0.154  0.331  0.000
Ga  0.500  0.500  0.250
Ir  0.000  0.000  0.250

(2)
This record from Alexandria describes a geometry-optimized PuGa3Ir structure. The functional is PBE-GGA.

total moment = 10.47 Bohr magnetons per cell
calculated total energy = -68.19 eV per cell
DOS(E_F) = 10.41 states/eV/f.u.

Cell: 6.381 4.567 6.408 Å, 90.00 90.06 90.00°
Space group P2_1/m (No. 11)
Inequivalent atoms, fractional coordinates:
Pu  0.250  0.250  0.250
Ga  0.047  0.250  0.804
Ga  0.250  0.750  0.538
Ga  0.452  0.250  0.804
Ir  0.250  0.750  0.919

(3)
This record from Alexandria describes a geometry-optimized Pu2Ga2Ir structure. The functional is PBE-GGA.

total moment = 0.05 Bohr magnetons per cell
calculated total energy = -183.16 eV per cell
DOS(E_F) = 16.25 states/eV/f.u.

Cell: 10.481 4.252 9.993 Å, 90.00 109.55 90.00°
Space group C2/m (No. 12)
Inequivalent atoms, fractional coordinates:
Pu  0.007  0.000  0.340
Pu  0.196  0.000  0.105
Ga  0.015  0.500  0.879
Ga  0.163  0.500  0.555
Ir  0.221  0.500  0.313

(4)
This record from Alexandria describes a geometry-optimized Pu3GaIr structure. The functional is PBE-GGA.

total moment = 7.41 Bohr magnetons per cell
calculated total energy = -111.57 eV per cell
DOS(E_F) = 9.16 states/eV/f.u.

Cell: 6.083 4.462 7.101 Å, 90.00 100.20 90.00°
Space group P2_1 (No. 4)
Inequivalent atoms, fractional coordinates:
Pu  0.037  0.000  0.249
Pu  0.340  0.992  0.526
Pu  0.384  0.496  0.684
Ga  0.327  0.505  0.110
Ir  0.247  0.006  0.924

(5)
This record from Alexandria describes a geometry-optimized Pu4Ga12Ir structure. The functional is PBE-GGA.

total moment = 42.08 Bohr magnetons per cell
calculated total energy = -220.24 eV per cell
DOS(E_F) = 33.44 states/eV/f.u.

Cell: 8.640 8.640 8.640 Å, 90.00 90.00 90.00°
Space group Im-3m (No. 229)
Inequivalent atoms, fractional coordinates:
Pu  0.250  0.250  0.250
Ga  0.000  0.000  0.291
Ga  0.000  0.250  0.500
Ir  0.000  0.000  0.000

(6)
This record from Alexandria describes a geometry-optimized PuGa2Ir2 structure. The functional is PBE-GGA.

total moment = 10.68 Bohr magnetons per cell
calculated total energy = -81.40 eV per cell
DOS(E_F) = 13.78 states/eV/f.u.

Cell: 4.200 4.200 10.469 Å, 90.00 90.00 90.00°
Space group P4/nmm (No. 129, origin choice 2)
Inequivalent atoms, fractional coordinates:
Pu  0.250  0.250  0.241
Ga  0.250  0.250  0.871
Ga  0.250  0.750  0.500
Ir  0.250  0.250  0.636
Ir  0.250  0.750  0.000